Entry 1:
A crystal of Sr2MgIn relaxed with PBEsol. Source: the Alexandria database, functional meta-GGA SCAN.

```
Sr2MgIn
1.0
3.980 0.000 0.000
0.000 5.763 0.000
0.000 0.000 5.764
Sr Mg In
2 1 1
direct
0.000 0.000 0.000
0.000 0.500 0.495
0.500 0.000 0.502
0.500 0.500 0.994
```

Values from the calculation:
**Total DFT energy (no corrections)**: -84.259 eV per cell

Entry 2:
A crystal of Sr2MgIn relaxed with PBEsol. Source: the Alexandria database, functional meta-GGA SCAN.

```
Sr2MgIn
1.0
-1.953 2.892 5.938
1.953 -2.892 5.938
1.953 2.892 -5.938
Sr Mg In
2 1 1
direct
0.000 0.000 0.000
0.702 0.202 0.500
0.432 0.432 0.000
0.244 0.744 0.500
```

Values from the calculation:
**Total DFT energy (no corrections)**: -84.060 eV per cell

Entry 3:
A crystal of SrMgIn3 relaxed with PBEsol. Source: the Alexandria database, functional meta-GGA SCAN.

```
SrMgIn3
1.0
5.995 0.000 0.000
0.000 5.995 0.000
0.000 0.000 5.995
Sr Mg In
1 1 3
direct
0.000 0.000 0.000
0.500 0.500 0.500
0.000 0.000 0.500
0.000 0.500 0.000
0.500 0.000 0.000
```

Values from the calculation:
**Total DFT energy (no corrections)**: -123.357 eV per cell